Entry from Alexandria via LeMat-Bulk: a relaxed structure of Y4CuSi (PBE-GGA).

Unit cell a=6.117 b=6.117 c=6.117 alpha=60.00 beta=60.00 gamma=60.00
Positions (direct):
Y: 0.376 0.376 0.376
Y: 0.376 0.376 0.873
Y: 0.376 0.873 0.376
Y: 0.873 0.376 0.376
Cu: 0.000 0.000 0.000
Si: 0.750 0.750 0.750

Symmetry: F-43m, No. 216


Entry from Alexandria via LeMat-Bulk: a relaxed structure of YCuSi (PBE-GGA).

Unit cell a=5.844 b=5.844 c=5.483 alpha=108.39 beta=108.39 gamma=39.47
Positions (direct):
Y: 0.000 0.000 0.000
Y: 0.233 0.233 0.592
Cu: 0.332 0.332 0.154
Cu: 0.526 0.526 0.580
Si: 0.711 0.711 0.010
Si: 0.908 0.908 0.449

Symmetry: Cm, No. 8


Entry from Alexandria via LeMat-Bulk: a relaxed structure of YCuSi (PBE-GGA).

Unit cell a=5.372 b=5.372 c=5.489 alpha=90.00 beta=90.00 gamma=136.93
Positions (direct):
Y: 0.200 0.800 0.750
Y: 0.800 0.200 0.250
Cu: 0.085 0.915 0.250
Cu: 0.915 0.085 0.750
Si: 0.500 0.500 0.000
Si: 0.500 0.500 0.500

Symmetry: Cmcm, No. 63


Entry from Alexandria via LeMat-Bulk: a relaxed structure of YCuSi (PBE-GGA).

Unit cell a=3.867 b=4.102 c=7.109 alpha=90.00 beta=90.00 gamma=90.00
Positions (direct):
Y: 0.000 0.000 0.000
Y: 0.000 0.500 0.500
Cu: 0.500 0.000 0.327
Cu: 0.500 0.000 0.673
Si: 0.500 0.500 0.168
Si: 0.500 0.500 0.832

Symmetry: Pmmm, No. 47


| no. | formation energy from raw total energies (eV/atom) |
| --- | --- |
| 1 | 0.65 |
| 2 | -0.48 |
| 3 | -0.47 |
| 4 | -0.62 |